# 1
A relaxed Np2Co12As7 crystal. Source: the Alexandria database, functional PBE.

Lattice parameters (Å, degrees): 3.726 9.380 9.380 120.00 90.00 90.00
Site moments in Bohr magnetons follow the coordinates.
Atoms (fractional coordinates):
As  0.000  0.739  0.957  -0.01
As  0.000  0.219  0.261  -0.01
As  0.500  0.928  0.374  -0.02
As  0.500  0.446  0.072  -0.02
As  0.000  0.043  0.781  -0.01
As  0.000  0.333  0.667  -0.02
As  0.500  0.626  0.554  -0.02
Co  0.000  0.057  0.543  0.44
Co  0.000  0.486  0.943  0.44
Co  0.000  0.955  0.230  0.41
Co  0.500  0.900  0.614  0.31
Co  0.500  0.565  0.771  1.04
Co  0.500  0.229  0.795  1.04
Co  0.500  0.714  0.100  0.31
Co  0.000  0.457  0.514  0.44
Co  0.000  0.275  0.045  0.41
Co  0.500  0.205  0.435  1.04
Co  0.500  0.386  0.286  0.31
Co  0.000  0.770  0.725  0.41
Np  0.500  0.000  0.000  3.43
Np  0.000  0.667  0.333  3.46

Calculated formation energy (eV per atom): -0.319
Total magnetic moment (μB/f.u.): 13.46
D(E_F) (states/eV per atom): 1.32



# 2
A relaxed Tb2SmHoSb4 crystal. Source: the Alexandria database, functional PBE.

Lattice parameters (Å, degrees): 4.414 7.641 7.639 70.52 90.00 90.00
Atoms (fractional coordinates):
Sb  0.500  0.250  0.747
Sb  0.000  0.752  0.746
Sb  0.500  0.750  0.253
Sb  0.000  0.248  0.254
Ho  0.000  0.500  0.500
Tb  0.000  0.000  0.000
Tb  0.500  0.000  0.500
Sm  0.500  0.500  0.000

Total magnetic moment (μB/f.u.): 0.00
D(E_F) (states/eV per atom): 0.13
ΔE_f (raw) (meV/atom): -1145



# 3
A relaxed LiCaRuAu2 crystal. Source: the Alexandria database, functional PBE.

Lattice parameters (Å, degrees): 4.566 4.414 4.566 90.00 90.00 90.00
Site moments in Bohr magnetons follow the coordinates.
Atoms (fractional coordinates):
Au  0.000  0.000  0.500  0.00
Au  0.500  0.000  0.000  0.00
Ca  0.500  0.500  0.500  -0.01
Ru  0.000  0.500  0.000  0.51
Li  0.000  0.000  0.000  0.00

Calculated formation energy (eV per atom): 0.114
Total magnetic moment (μB/f.u.): 0.54
D(E_F) (states/eV per atom): 0.61



# 4
A relaxed CrIr2W crystal. Source: the Alexandria database, functional PBE.

Lattice parameters (Å, degrees): 9.855 9.855 4.284 90.00 90.00 164.05
Atoms (fractional coordinates):
W  0.706  0.294  0.750
W  0.294  0.706  0.250
Ir  0.156  0.844  0.250
Ir  0.844  0.156  0.750
Ir  0.927  0.073  0.250
Ir  0.073  0.927  0.750
Cr  0.540  0.460  0.250
Cr  0.460  0.540  0.750

Calculated formation energy (eV per atom): -0.185
Total magnetic moment (μB/f.u.): 0.00
D(E_F) (states/eV per atom): 1.14



# 5
A relaxed TbY2Mg crystal. Source: the Alexandria database, functional PBE.

Lattice parameters (Å, degrees): 3.523 3.523 11.535 81.23 81.23 59.95
Atoms (fractional coordinates):
Mg  0.500  0.500  0.500
Y  0.085  0.085  0.745
Y  0.248  0.248  0.255
Tb  0.667  0.667  0.000

Calculated formation energy (eV per atom): 0.042
Total magnetic moment (μB/f.u.): 0.00
D(E_F) (states/eV per atom): 1.55



# 6
A relaxed Sm2DyTh3S6 crystal. Source: the Alexandria database, functional PBE.

Lattice parameters (Å, degrees): 6.856 6.856 7.052 99.28 99.28 119.55
Atoms (fractional coordinates):
Sm  0.334  0.666  0.000
Sm  0.666  0.334  0.000
S  0.754  0.754  0.243
S  0.080  0.407  0.239
S  0.246  0.246  0.757
S  0.920  0.593  0.761
S  0.593  0.920  0.761
S  0.407  0.080  0.239
Dy  0.000  0.000  0.000
Th  0.500  0.500  0.500
Th  0.830  0.170  0.500
Th  0.170  0.830  0.500

Total magnetic moment (μB/f.u.): 0.00
D(E_F) (states/eV per atom): 0.59
ΔE_f (raw) (meV/atom): -1912



# 7
A relaxed CsMnAg2I8 crystal. Source: the Alexandria database, functional PBE.

Lattice parameters (Å, degrees): 7.375 7.014 10.645 95.01 98.91 68.97
Site moments in Bohr magnetons follow the coordinates.
Atoms (fractional coordinates):
I  0.806  0.275  0.172  -0.06
I  0.735  0.203  0.805  -0.06
I  0.563  0.733  0.542  -0.05
I  0.778  0.775  0.022  -0.04
I  0.265  0.797  0.195  -0.06
I  0.194  0.725  0.828  -0.06
I  0.222  0.225  0.978  -0.04
I  0.437  0.267  0.458  -0.05
Ag  0.610  0.641  0.796  -0.02
Ag  0.390  0.359  0.204  -0.02
Cs  0.000  0.000  0.500  0.00
Mn  0.000  0.000  0.000  3.23

Total magnetic moment (μB/f.u.): 2.81
D(E_F) (states/eV per atom): 0.52
ΔE_f (raw) (meV/atom): -390



# 8
A relaxed LiLaO3 crystal. Source: the Alexandria database, functional PBE.

Lattice parameters (Å, degrees): 3.766 3.766 3.766 90.00 90.00 90.00
Site moments in Bohr magnetons follow the coordinates.
Atoms (fractional coordinates):
Li  0.000  0.000  0.000  0.02
O  0.500  0.000  0.000  0.60
O  0.000  0.500  0.000  0.67
O  0.000  0.000  0.500  0.49
La  0.500  0.500  0.500  -0.04

Total magnetic moment (μB/f.u.): 2.00
D(E_F) (states/eV per atom): 0.40
ΔE_f (raw) (meV/atom): -1957



Q: Number 8 is which compound?
A: LiLaO3



Q: Which of these has the highest D(E_F)?
A: TbY2Mg